No. 1
# CuSb2Se

An optimized crystal structure of CuSb2Se (PBEsol, the Alexandria database).

D(E_F) in states/eV per cell: 3.69
Volume in Å³/cell: 172.61
E_form (uncorrected) in meV per atom: -10.1
Raw total energy in eV/atom: -4.335

Geometry as CIF:
```
data_CuSb2Se
_symmetry_space_group_name_H-M 'A m m 2'
_symmetry_Int_Tables_number 38
_cell_length_a 3.646
_cell_length_b 5.401
_cell_length_c 8.766
_cell_angle_alpha 90.00
_cell_angle_beta 90.00
_cell_angle_gamma 90.00
loop_
_symmetry_equiv_pos_as_xyz
'x,y,z'
'-x,-y,z'
'-x,y,z'
'x,-y,z'
'x,y+1/2,z+1/2'
'-x,-y+1/2,z+1/2'
'-x,y+1/2,z+1/2'
'x,-y+1/2,z+1/2'
loop_
_atom_site_label
_atom_site_type_symbol
_atom_site_fract_x
_atom_site_fract_y
_atom_site_fract_z
Cu1 Cu 0.000 0.000 0.000
Sb1 Sb 0.000 0.000 0.491
Sb2 Sb 0.500 0.000 0.776
Se1 Se 0.500 0.000 0.189
```

=====

No. 2
# Cu2SbSe

An optimized crystal structure of Cu2SbSe (PBEsol, the Alexandria database).

D(E_F) in states/eV per cell: 4.37
Volume in Å³/cell: 146.07
E_form (uncorrected) in meV per atom: 19.5
Raw total energy in eV/atom: -4.249

Geometry as CIF:
```
data_Cu2SbSe
_symmetry_space_group_name_H-M 'C 1 m 1'
_symmetry_Int_Tables_number 8
_cell_length_a 7.544
_cell_length_b 3.571
_cell_length_c 5.824
_cell_angle_alpha 90.00
_cell_angle_beta 111.41
_cell_angle_gamma 90.00
loop_
_symmetry_equiv_pos_as_xyz
'x,y,z'
'x,-y,z'
'x+1/2,y+1/2,z'
'x+1/2,-y+1/2,z'
loop_
_atom_site_label
_atom_site_type_symbol
_atom_site_fract_x
_atom_site_fract_y
_atom_site_fract_z
Cu1 Cu 0.000 0.000 0.000
Cu2 Cu 0.244 0.000 0.827
Sb1 Sb 0.477 0.000 0.604
Se1 Se 0.267 0.500 0.185
```

=====

No. 3
# Zr2CuSbSe

An optimized crystal structure of Zr2CuSbSe (PBEsol, the Alexandria database).

D(E_F) in states/eV per cell: 7.50
Volume in Å³/cell: 146.12
E_form (uncorrected) in meV per atom: 1133.8
Raw total energy in eV/atom: -5.050

Geometry as CIF:
```
data_Zr2CuSbSe
_symmetry_space_group_name_H-M 'P 4/m m m'
_symmetry_Int_Tables_number 123
_symmetry_space_group_name_Hall '-P 4 2'
_cell_length_a 5.310
_cell_length_b 5.310
_cell_length_c 5.183
_cell_angle_alpha 90.00
_cell_angle_beta 90.00
_cell_angle_gamma 90.00
loop_
_atom_site_label
_atom_site_type_symbol
_atom_site_fract_x
_atom_site_fract_y
_atom_site_fract_z
Zr1 Zr 0.000 0.500 0.000
Cu1 Cu 0.000 0.000 0.500
Sb1 Sb 0.500 0.500 0.000
Se1 Se 0.500 0.500 0.500
```

=====

No. 4
# Cu2SiSb

An optimized crystal structure of Cu2SiSb (PBEsol, the Alexandria database).

D(E_F) in states/eV per cell: 7.25
Volume in Å³/cell: 255.27
E_form (uncorrected) in meV per atom: 358.1
Raw total energy in eV/atom: -4.385

Geometry as CIF:
```
data_Cu2SiSb
_symmetry_space_group_name_H-M 'F m -3 m'
_symmetry_Int_Tables_number 225
_symmetry_space_group_name_Hall '-F 4 2 3'
_cell_length_a 6.344
_cell_length_b 6.344
_cell_length_c 6.344
_cell_angle_alpha 90.00
_cell_angle_beta 90.00
_cell_angle_gamma 90.00
loop_
_atom_site_label
_atom_site_type_symbol
_atom_site_fract_x
_atom_site_fract_y
_atom_site_fract_z
Cu1 Cu 0.250 0.250 0.250
Si1 Si 0.000 0.000 0.000
Sb1 Sb 0.000 0.000 0.500
```

=====

Q: The lowest E_form (uncorrected) belongs to which entry?
A: CuSb2Se